[1]
A geometry-optimized CuSnPt6 structure. Source: Alexandria via LeMat-Bulk, functional PBE-GGA.

Results
SG = P4/mmm
Calculated formation energy = -1.85 eV/f.u.

a b c (Å): 3.9882 3.9882 7.9555
angles (deg): 90.00 90.00 90.00
Closest atoms and distances in Å follow each position.
Element x y z (fractional)
Cu  0.0000  0.0000  0.5000  12 Pt 2.76-2.82
Sn  0.0000  0.0000  0.0000  12 Pt 2.82-2.88
Pt  0.5000  0.5000  0.0000  4 Sn 2.82, 8 Pt 2.88
Pt  0.5000  0.5000  0.5000  8 Pt 2.76, 4 Cu 2.82
Pt  0.5000  0.0000  0.2606  8 Pt 2.76-2.88, 2 Cu 2.76, 2 Sn 2.88
Pt  0.5000  0.0000  0.7394  8 Pt 2.76-2.88, 2 Cu 2.76, 2 Sn 2.88
Pt  0.0000  0.5000  0.2606  2 Cu 2.76, 8 Pt 2.76-2.88, 2 Sn 2.88
Pt  0.0000  0.5000  0.7394  2 Cu 2.76, 8 Pt 2.76-2.88, 2 Sn 2.88

***

[2]
A geometry-optimized Ac2AlZn6Rh structure. Source: Alexandria via LeMat-Bulk, functional PBE-GGA.

Results
SG = C2/m
Calculated formation energy = -2.80 eV/f.u.

a b c (Å): 6.8519 6.6509 6.8580
angles (deg): 61.05 58.06 90.09
Closest atoms and distances in Å follow each position.
Element x y z (fractional)
Ac  0.7089  0.2942  0.4137  12 Zn 3.35-3.61, 1 Rh 3.54
Ac  0.2911  0.7058  0.5863  12 Zn 3.35-3.61, 1 Rh 3.54
Al  0.0000  0.0000  0.0000  6 Zn 2.53
Zn  0.1513  0.2511  0.4963  1 Rh 2.44, 1 Al 2.53, 2 Zn 2.68
Zn  0.7477  0.8495  0.8991  1 Rh 2.44, 1 Al 2.53, 2 Zn 2.68
Zn  0.2513  0.7475  0.1010  1 Rh 2.44, 1 Al 2.53, 2 Zn 2.68
Zn  0.7487  0.2525  0.8990  1 Rh 2.44, 1 Al 2.53, 2 Zn 2.68
Zn  0.2523  0.1505  0.1009  1 Rh 2.44, 1 Al 2.53, 2 Zn 2.68
Zn  0.8487  0.7489  0.5037  1 Rh 2.44, 1 Al 2.53, 2 Zn 2.68
Rh  0.5000  0.5000  0.0000  6 Zn 2.44

***

[3]
A geometry-optimized HoMn2C structure. Source: Alexandria via LeMat-Bulk, functional PBE-GGA.

Results
SG = R-3m
Calculated formation energy = 0.70 eV/f.u.

a b c (Å): 3.6234 3.6234 5.4976
angles (deg): 70.76 70.76 60.00
Closest atoms and distances in Å follow each position.
Element x y z (fractional)
C  0.0000  0.0000  0.0000  6 Mn 2.11
Mn  0.6843  0.6843  0.9470  3 C 2.11, 3 Mn 2.16
Mn  0.3157  0.3157  0.0530  3 C 2.11, 3 Mn 2.16
Ho  0.5000  0.5000  0.5000  8 Mn 2.81-3.09

***

[4]
A geometry-optimized BaSrSi2 structure. Source: Alexandria via LeMat-Bulk, functional PBE-GGA.

Results
Excess energy over the best structure of this formula in the dataset = 89 meV per atom
SG = Imm2
Uncorrected formation energy = -0.35 eV per atom

a b c (Å): 6.7032 6.7032 4.9752
angles (deg): 68.22 68.22 34.44
Closest atoms and distances in Å follow each position.
Element x y z (fractional)
Ba  0.2684  0.2684  0.2316  6 Si 3.35-3.53, 2 Sr 3.66
Si  0.0559  0.0559  0.9440  2 Si 2.46
Si  0.6797  0.6797  0.8204  2 Si 2.46
Sr  0.4960  0.4960  0.5040  6 Si 3.26-3.30

***

[5]
A geometry-optimized TbY2Er6 structure. Source: Alexandria via LeMat-Bulk, functional PBE-GGA.

Results
Excess energy over the best structure of this formula in the dataset = 0 meV per atom
SG = P4_2/mnm
Calculated formation energy = 0.22 eV/f.u.

a b c (Å): 4.9934 10.5797 10.5783
angles (deg): 90.00 90.00 90.00
Closest atoms and distances in Å follow each position.
Element x y z (fractional)
Tb  0.5000  0.5000  0.0000  4 Y 3.53, 8 Er 3.53-3.54
Tb  0.0000  0.0000  0.5000  4 Y 3.53, 8 Er 3.53-3.54
Y  0.9999  0.3332  0.8331  10 Er 3.52-3.53, 2 Tb 3.53
Y  0.5001  0.8331  0.6669  10 Er 3.52-3.53, 2 Tb 3.53
Y  0.4999  0.1669  0.3331  10 Er 3.52-3.53, 2 Tb 3.53
Y  0.0001  0.6668  0.1669  10 Er 3.52-3.53, 2 Tb 3.53
Er  0.0000  0.0003  0.1657  8 Er 3.50-3.54, 3 Y 3.53, 1 Tb 3.54
Er  0.0001  0.6656  0.5004  8 Er 3.50-3.54, 3 Y 3.53, 1 Tb 3.54
Er  0.0000  0.6669  0.8331  6 Er 3.52-3.54, 4 Y 3.52-3.53, 2 Tb 3.53
Er  0.5000  0.1670  0.6668  6 Er 3.52-3.54, 4 Y 3.52-3.53, 2 Tb 3.53
Er  0.4999  0.1657  0.9996  8 Er 3.51-3.54, 3 Y 3.53, 1 Tb 3.54
Er  0.5000  0.5003  0.3344  8 Er 3.50-3.54, 3 Y 3.53, 1 Tb 3.54
Er  0.0000  0.9997  0.8343  8 Er 3.50-3.54, 3 Y 3.53, 1 Tb 3.54
Er  0.9999  0.3344  0.4996  8 Er 3.50-3.54, 3 Y 3.53, 1 Tb 3.54
Er  0.0000  0.3331  0.1669  6 Er 3.52-3.54, 4 Y 3.52-3.53, 2 Tb 3.53
Er  0.5000  0.8330  0.3332  6 Er 3.52-3.54, 4 Y 3.52-3.53, 2 Tb 3.53
Er  0.5001  0.8343  0.0004  8 Er 3.51-3.54, 3 Y 3.53, 1 Tb 3.54
Er  0.5000  0.4997  0.6656  8 Er 3.50-3.54, 3 Y 3.53, 1 Tb 3.54

***

[6]
A geometry-optimized BaCa2Ir structure. Source: Alexandria via LeMat-Bulk, functional PBE-GGA.

Results
Excess energy over the best structure of this formula in the dataset = 151 meV per atom
SG = Amm2
Calculated formation energy = -0.35 eV/f.u.

a b c (Å): 3.8846 4.4374 8.7424
angles (deg): 75.31 90.00 90.00
Closest atoms and distances in Å follow each position.
Element x y z (fractional)
Ca  0.0000  0.9011  0.0726  1 Ir 2.76
Ca  0.5000  0.2677  0.3395  4 Ir 2.99
Ir  0.0000  0.7381  0.3988  5 Ca 2.76-2.99
Ba  0.5000  0.5931  0.6891  2 Ir 3.13

***

[7]
A geometry-optimized ErCuTe3 structure. Source: Alexandria via LeMat-Bulk, functional PBE-GGA.

Results
SG = P2_1/c
Uncorrected formation energy = -0.57 eV per atom

a b c (Å): 6.2240 10.6156 9.1728
angles (deg): 103.77 90.00 90.00
Closest atoms and distances in Å follow each position.
Element x y z (fractional)
Er  0.7747  0.6259  0.1756  6 Te 3.06-3.19
Er  0.2253  0.3741  0.8244  6 Te 3.06-3.19
Er  0.2747  0.3741  0.3244  6 Te 3.06-3.19
Er  0.7253  0.6259  0.6756  6 Te 3.06-3.19
Cu  0.2824  0.9589  0.5735  5 Te 2.58-2.74
Cu  0.7176  0.0411  0.4265  5 Te 2.58-2.74
Cu  0.7824  0.0411  0.9265  5 Te 2.58-2.74
Cu  0.2176  0.9589  0.0735  5 Te 2.58-2.74
Te  0.0605  0.9143  0.3230  3 Cu 2.58-2.63
Te  0.9395  0.0857  0.6770  3 Cu 2.58-2.63
Te  0.5605  0.0857  0.1770  3 Cu 2.58-2.63
Te  0.4395  0.9143  0.8230  3 Cu 2.58-2.63
Te  0.5966  0.8034  0.4657  2 Cu 2.60-2.74
Te  0.4034  0.1966  0.5343  2 Cu 2.60-2.74
Te  0.0966  0.1966  0.0343  2 Cu 2.60-2.74
Te  0.9034  0.8034  0.9657  2 Cu 2.60-2.74
Te  0.2282  0.5726  0.6307  4 Er 3.06-3.19
Te  0.7718  0.4274  0.3693  4 Er 3.06-3.19
Te  0.7282  0.4274  0.8693  4 Er 3.06-3.19
Te  0.2718  0.5726  0.1307  4 Er 3.06-3.19

***

[8]
A geometry-optimized Gd3Sb5Te12 structure. Source: Alexandria via LeMat-Bulk, functional PBE-GGA.

Results
SG = Ia-3d
Uncorrected formation energy = -0.44 eV per atom

a b c (Å): 15.7591 15.7591 15.7591
angles (deg): 109.47 109.47 109.47
Closest atoms and distances in Å follow each position.
Element x y z (fractional)
Gd  0.7500  0.3750  0.1250  8 Te 3.32-3.36
Gd  0.8750  0.7500  0.1250  8 Te 3.32-3.36
Gd  0.3750  0.7500  0.6250  8 Te 3.32-3.36
Gd  0.2500  0.1250  0.3750  8 Te 3.32-3.36
Gd  0.8750  0.1250  0.2500  8 Te 3.32-3.36
Gd  0.3750  0.6250  0.2500  8 Te 3.32-3.36
Gd  0.6250  0.3750  0.7500  8 Te 3.32-3.36
Gd  0.1250  0.8750  0.7500  8 Te 3.32-3.36
Gd  0.7500  0.8750  0.6250  8 Te 3.32-3.36
Gd  0.6250  0.2500  0.3750  8 Te 3.32-3.36
Gd  0.1250  0.2500  0.8750  8 Te 3.32-3.36
Gd  0.2500  0.6250  0.8750  8 Te 3.32-3.36
Sb  0.1250  0.3750  0.2500  4 Te 2.94
Sb  0.0000  0.5000  0.0000  6 Te 3.07
Sb  0.0000  0.0000  0.0000  6 Te 3.07
Sb  0.3750  0.2500  0.1250  4 Te 2.94
Sb  0.5000  0.0000  0.5000  6 Te 3.07
Sb  0.5000  0.5000  0.0000  6 Te 3.07
Sb  0.1250  0.7500  0.3750  4 Te 2.94
Sb  0.7500  0.1250  0.8750  4 Te 2.94
Sb  0.7500  0.6250  0.3750  4 Te 2.94
Sb  0.3750  0.1250  0.7500  4 Te 2.94
Sb  0.6250  0.8750  0.2500  4 Te 2.94
Sb  0.5000  0.5000  0.5000  6 Te 3.07
Sb  0.5000  0.0000  0.0000  6 Te 3.07
Sb  0.0000  0.0000  0.5000  6 Te 3.07
Sb  0.2500  0.3750  0.6250  4 Te 2.94
Sb  0.2500  0.8750  0.1250  4 Te 2.94
Sb  0.0000  0.5000  0.5000  6 Te 3.07
Sb  0.8750  0.2500  0.6250  4 Te 2.94
Sb  0.6250  0.7500  0.8750  4 Te 2.94
Sb  0.8750  0.6250  0.7500  4 Te 2.94
Te  0.7215  0.1395  0.0538  2 Sb 2.94-3.07
Te  0.3322  0.5538  0.4142  2 Sb 2.94-3.07
Te  0.9462  0.3605  0.2785  2 Sb 2.94-3.07
Te  0.5538  0.2215  0.1395  2 Sb 2.94-3.07
Te  0.5820  0.7215  0.6678  2 Sb 2.94-3.07
Te  0.9462  0.5858  0.1678  2 Sb 2.94-3.07
Te  0.3322  0.7785  0.4180  2 Sb 2.94-3.07
Te  0.0858  0.9180  0.1395  2 Sb 2.94-3.07
Te  0.5858  0.9462  0.6678  2 Sb 2.94-3.07
Te  0.7215  0.5820  0.1678  2 Sb 2.94-3.07
Te  0.7785  0.4462  0.3605  2 Sb 2.94-3.07
Te  0.8322  0.9142  0.0538  2 Sb 2.94-3.07
Te  0.1395  0.7215  0.5538  2 Sb 2.94-3.07
Te  0.3605  0.4142  0.0820  2 Sb 2.94-3.07
Te  0.0820  0.9142  0.3605  2 Sb 2.94-3.07
Te  0.4180  0.1395  0.5858  2 Sb 2.94-3.07
Te  0.0820  0.1678  0.2215  2 Sb 2.94-3.07
Te  0.4462  0.6678  0.0858  2 Sb 2.94-3.07
Te  0.8322  0.9180  0.2785  2 Sb 2.94-3.07
Te  0.1395  0.4180  0.0858  2 Sb 2.94-3.07
Te  0.3605  0.9462  0.7785  2 Sb 2.94-3.07
Te  0.5858  0.6395  0.4180  2 Sb 2.94-3.07
Te  0.9142  0.8322  0.5538  2 Sb 2.94-3.07
Te  0.7785  0.3322  0.9180  2 Sb 2.94-3.07
Te  0.4142  0.3605  0.5820  2 Sb 2.94-3.07
Te  0.0858  0.1678  0.4462  2 Sb 2.94-3.07
Te  0.2215  0.6678  0.0820  2 Sb 2.94-3.07
Te  0.1678  0.0820  0.7215  2 Sb 2.94-3.07
Te  0.6395  0.0538  0.2215  2 Sb 2.94-3.07
Te  0.8605  0.5820  0.9142  2 Sb 2.94-3.07
Te  0.5538  0.3322  0.9142  2 Sb 2.94-3.07
Te  0.5820  0.8605  0.4142  2 Sb 2.94-3.07
Te  0.9180  0.8322  0.7785  2 Sb 2.94-3.07
Te  0.9180  0.0858  0.6395  2 Sb 2.94-3.07
Te  0.8605  0.2785  0.4462  2 Sb 2.94-3.07
Te  0.1678  0.0858  0.9462  2 Sb 2.94-3.07
Te  0.6395  0.5858  0.9180  2 Sb 2.94-3.07
Te  0.4142  0.0538  0.3322  2 Sb 2.94-3.07
Te  0.2785  0.4180  0.8322  2 Sb 2.94-3.07
Te  0.2215  0.5538  0.6395  2 Sb 2.94-3.07
Te  0.9142  0.0820  0.8605  2 Sb 2.94-3.07
Te  0.6678  0.2215  0.5820  2 Sb 2.94-3.07
Te  0.4462  0.7785  0.8605  2 Sb 2.94-3.07
Te  0.0538  0.4142  0.8322  2 Sb 2.94-3.07
Te  0.4180  0.2785  0.3322  2 Sb 2.94-3.07
Te  0.0538  0.6395  0.7215  2 Sb 2.94-3.07
Te  0.6678  0.4462  0.5858  2 Sb 2.94-3.07
Te  0.2785  0.8605  0.9462  2 Sb 2.94-3.07